Record 1
This record from Alexandria via LeMat-Bulk describes an optimized crystal structure of PRh2W. The functional is PBE-GGA.

The density of states at the Fermi level comes out at 1.08 states/eV/atom. Its calculated total energy is -8.37 eV per atom.

The structure belongs to space group C2/m (No. 12); the cell edges are 9.063, 2.829 and 4.484 Å and the angles 90.00°, 91.39° and 90.00°. The asymmetric unit holds P at (0.000, 0.000, 0.000), Rh at (0.230, 0.000, 0.747) and W at (0.000, 0.500, 0.500).

Record 2
This record from Alexandria via LeMat-Bulk describes an optimized crystal structure of VRu3Cl. The functional is PBE-GGA.

Its energy above the lowest structure with this stoichiometry is 0.0000 eV/atom. The density of states at the Fermi level comes out at 1.69 states/eV/atom. The calculation puts the formation energy without anion corrections at 1127 meV/atom.

The structure belongs to space group Pm-3m (No. 221); the cell edges are 4.329, 4.329 and 4.329 Å and the angles 90.00°, 90.00° and 90.00°. The asymmetric unit holds V at (0.000, 0.000, 0.000), Ru at (0.000, 0.500, 0.500) and Cl at (0.500, 0.500, 0.500).